The following is a DFT calculation (GGA-PBE) of an optimized crystal structure of ZnPbAu2.

Properties
DOS(E_F) in states/eV/cell: 1.6
Size of the total moment in μB/f.u.: 0.000
Energy of formation from the pure elements in meV/atom: 25
Theoretical density in g/cm³: 13.232
Raw total energy in eV/cell: -11.4

a = 4.7920 Å, b = 4.7920 Å, c = 3.7735 Å
α = 89.90°, β = 89.90°, γ = 105.13°
Closest atoms and distances in Å follow each position.
Fractional coordinates of all 4 atoms:
Zn1 0.0000 0.5000 0.5000  2 Pb 2.91, 8 Au 3.05
Au1 0.0000 0.0000 0.0000  2 Au 2.91, 4 Zn 3.05, 4 Pb 3.05
Pb1 0.5000 0.0000 0.5000  2 Zn 2.91, 8 Au 3.05
Au2 0.5000 0.5000 0.0000  2 Au 2.91, 4 Pb 3.05, 4 Zn 3.05